# GGA-PBE Zn3CrGa, relaxed
# - Energy of formation: 3.534 eV/f.u.
# - Offset from the most stable computed form: 0.0 kJ per mole of atoms
data_Zn3CrGa
_chemical_formula_sum 'Zn3 Cr1 Ga1'
_cell_length_a 4.900
_cell_length_b 4.900
_cell_length_c 4.900
_cell_angle_alpha 90.00
_cell_angle_beta 90.00
_cell_angle_gamma 90.00
_space_group_name_H-M_alt 'P m -3 m'
_space_group_IT_number 221
_space_group_name_Hall '-P 4 2 3'
loop_
_atom_site_label
_atom_site_fract_x
_atom_site_fract_y
_atom_site_fract_z
Zn1 0.000 0.000 0.500
Cr1 0.000 0.000 0.000
Ga1 0.500 0.500 0.500